This record from the Alexandria database describes an optimized crystal structure of TaCd2Hg. The functional is GGA-PBE.

Summary:
ΔE_f ... 0.31 eV per atom

Structure (extended XYZ):
```
4
Lattice="5.7387 -1.4503 0.0000 5.7387 1.4503 0.0000 -2.6230 0.0000 4.9250" Properties=species:S:1:pos:R:3 pbc="T T T"
Ta 0.0000 0.0000 0.0000
Cd 1.4694 0.0000 2.8104
Cd 4.4661 0.0000 2.3928
Hg 8.3807 0.0000 0.2480
```